Rb3Zn2NiF9: relaxed, GGA+U.

```
data_Rb3Zn2NiF9
_chemical_formula_sum 'Rb3 Zn2 Ni1 F9'
_space_group_name_H-M_alt 'P -3 m 1'
_space_group_IT_number 164
_space_group_name_Hall '-P 3 2"'
_cell_length_a 5.8928
_cell_length_b 5.8928
_cell_length_c 7.2175
_cell_angle_alpha 90.00
_cell_angle_beta 90.00
_cell_angle_gamma 120.00
loop_
_atom_site_label
_atom_site_fract_x
_atom_site_fract_y
_atom_site_fract_z
Rb1 0.0000 0.0000 0.0000
Rb2 0.3333 0.6667 0.6666
Zn1 0.3333 0.6667 0.1684
Ni1 0.0000 0.0000 0.5000
F1 0.0000 0.5000 0.0000
F2 0.1654 0.3308 0.3351
```

Output
final energy = -4.165 eV/atom
N(E_F) = 0.0 states/eV/f.u.